# Pa4Pd3O12

Crystalline Pa4Pd3O12 at its relaxed geometry (GGA-PBE, Alexandria).

Computed properties:
total moment	2.01	μB/cell
formation energy without anion corrections	-4778	kJ/mol of formula units
total DFT energy (no corrections)	-162.58	eV/cell
DOS at the Fermi energy	0.5843	states/eV/atom

CIF file:
```
data_Pa4Pd3O12
_symmetry_space_group_name_H-M 'P 1'
_symmetry_Int_Tables_number 1
_cell_length_a 7.159
_cell_length_b 7.159
_cell_length_c 7.159
_cell_angle_alpha 109.47
_cell_angle_beta 109.47
_cell_angle_gamma 109.47
loop_
_symmetry_equiv_pos_as_xyz
'x,y,z'
loop_
_atom_site_label
_atom_site_type_symbol
_atom_site_fract_x
_atom_site_fract_y
_atom_site_fract_z
Pd1 Pd 0.500 0.500 0.000
O1 O 0.824 0.693 0.517
O2 O 0.176 0.693 0.869
Pa1 Pa 0.000 0.000 0.500
O3 O 0.483 0.176 0.307
Pa2 Pa 0.500 0.000 0.000
O4 O 0.824 0.307 0.131
O5 O 0.131 0.824 0.307
O6 O 0.693 0.869 0.176
Pd2 Pd 0.500 0.000 0.500
O7 O 0.693 0.517 0.824
Pa3 Pa 0.500 0.500 0.500
O8 O 0.517 0.824 0.693
O9 O 0.869 0.176 0.693
Pd3 Pd 0.000 0.500 0.500
O10 O 0.176 0.307 0.483
O11 O 0.307 0.483 0.176
Pa4 Pa 0.000 0.500 0.000
O12 O 0.307 0.131 0.824
```